Entry 1:
An optimized crystal structure of Tl2V3CuF12, computed with GGA+U.

Calculated values
- symmetry = R-3m, No. 166
- raw total energy (eV per cell) = -97.473
- density of states at the Fermi level (states/eV/cell) = 8.91

a b c (Å): 7.3610 7.3610 7.3610
angles (deg): 61.98 61.98 61.98
With the nearest neighbours (Å) after each atom.
Fractional positions:
F: 0.3049 0.9197 0.3049  2 V 1.99
F: 0.3049 0.3049 0.9197  2 V 1.99
F: 0.6951 0.6951 0.0803  2 V 1.99
F: 0.6376 0.0945 0.0945  1 V 1.94
F: 0.9197 0.3049 0.3049  2 V 1.99
F: 0.0803 0.6951 0.6951  2 V 1.99
F: 0.6951 0.0803 0.6951  2 V 1.99
F: 0.0945 0.6376 0.0945  1 V 1.94
F: 0.9055 0.3624 0.9055  1 V 1.94
F: 0.3624 0.9055 0.9055  1 V 1.94
F: 0.9055 0.9055 0.3624  1 V 1.94
F: 0.0945 0.0945 0.6376  1 V 1.94
V: 0.0000 0.0000 0.5000  6 F 1.94-1.99
V: 0.5000 0.0000 0.0000  6 F 1.94-1.99
V: 0.0000 0.5000 0.0000  6 F 1.94-1.99
Tl: 0.3607 0.3607 0.3607  3 F 2.82
Tl: 0.6393 0.6393 0.6393  3 F 2.82
Cu: 0.0000 0.0000 0.0000  6 F 2.25

Entry 2:
An optimized crystal structure of Tl2VCu3F12, computed with GGA+U.

Calculated values
- symmetry = R-3m, No. 166
- raw total energy (eV per cell) = -81.923
- density of states at the Fermi level (states/eV/cell) = 0.76

a b c (Å): 7.8296 7.8296 7.8296
angles (deg): 53.40 53.40 53.40
With the nearest neighbours (Å) after each atom.
Fractional positions:
Cu: 0.0000 0.0000 0.5000  4 F 1.93
Cu: 0.0000 0.5000 0.0000  4 F 1.93
Cu: 0.5000 0.0000 0.0000  4 F 1.93
F: 0.0767 0.0767 0.6908  1 V 1.88
F: 0.9216 0.3259 0.3259  2 Cu 1.93
F: 0.9233 0.9233 0.3092  1 V 1.88
F: 0.0784 0.6741 0.6741  2 Cu 1.93
F: 0.6741 0.6741 0.0784  2 Cu 1.93
F: 0.0767 0.6908 0.0767  1 V 1.88
F: 0.3259 0.9216 0.3259  2 Cu 1.93
F: 0.3092 0.9233 0.9233  1 V 1.88
F: 0.6908 0.0767 0.0767  1 V 1.88
F: 0.6741 0.0784 0.6741  2 Cu 1.93
F: 0.9233 0.3092 0.9233  1 V 1.88
F: 0.3259 0.3259 0.9216  2 Cu 1.93
V: 0.0000 0.0000 0.0000  6 F 1.88
Tl: 0.3922 0.3922 0.3922  3 F 2.94
Tl: 0.6078 0.6078 0.6078  3 F 2.94